Entry from Alexandria via LeMat-Bulk: an optimized crystal structure of GaMoO2 (PBE with a Hubbard U).

Output
* space-group type: I-42d (122)
* DFT total energy: -5.728 eV per atom

Geometry as POSCAR:
```
GaMoO2
1.0
4.862 0.000 0.000
0.000 4.862 0.000
2.431 2.431 5.913
O Mo Ga
4 2 2
direct
0.032 0.625 0.250
0.875 0.968 0.750
0.718 0.125 0.250
0.375 0.282 0.750
0.000 0.000 0.000
0.750 0.250 0.500
0.500 0.500 0.000
0.250 0.750 0.500
```